VASP calculation (PBE-GGA) on a relaxed structure of Pm3Ga2Ni4.

## Properties
The uncorrected energy comes out at -47.231 eV/cell.

Cell: 5.416 5.416 8.235 Å, 98.15 98.15 45.04°
Positions (direct):
Ni  0.263  0.263  0.415
Pm  0.376  0.376  0.121
Ni  0.737  0.737  0.585
Ni  0.083  0.083  0.135
Pm  0.000  0.000  0.500
Ga  0.322  0.322  0.717
Ga  0.678  0.678  0.283
Ni  0.917  0.917  0.865
Pm  0.624  0.624  0.879